# 1
Below is crystalline Sr3Al3Sn8 at its relaxed geometry, with properties calculated at the PBE level.

Unit cell a=5.3061 b=9.1865 c=9.1865 alpha=70.20 beta=72.60 gamma=72.60
Closest atoms and distances in Å follow each position.
Fractional coordinates of all 14 atoms:
Sr 0.5000 0.5000 0.5000  12 Sn 3.59-3.69, 2 Sr 3.90
Sr 0.7795 0.2210 0.2210  2 Al 3.38, 10 Sn 3.58-3.76
Sr 0.2205 0.7790 0.7790  2 Al 3.38, 10 Sn 3.58-3.76
Al 0.5000 0.0000 0.0000  4 Sn 2.88, 4 Al 2.99
Al 0.0000 0.8704 0.1296  3 Al 2.74-2.99, 2 Sn 2.93
Al 0.0000 0.1296 0.8704  3 Al 2.74-2.99, 2 Sn 2.93
Sn 0.6388 0.0639 0.6599  1 Al 2.88, 2 Sn 3.06
Sn 0.3612 0.9361 0.3401  1 Al 2.88, 2 Sn 3.06
Sn 0.6388 0.6599 0.0639  1 Al 2.88, 2 Sn 3.06
Sn 0.3612 0.3401 0.9361  1 Al 2.88, 2 Sn 3.06
Sn 0.8683 0.7847 0.4775  1 Al 2.93, 4 Sn 3.06-3.27
Sn 0.1317 0.2153 0.5225  1 Al 2.93, 4 Sn 3.06-3.27
Sn 0.8683 0.4775 0.7847  1 Al 2.93, 4 Sn 3.06-3.27
Sn 0.1317 0.5225 0.2153  1 Al 2.93, 4 Sn 3.06-3.27

Values from the calculation:
- Space-group type: C2/m

# 2
Below is crystalline Tb4Pm3DyS8 at its relaxed geometry, with properties calculated at the PBE level.

Unit cell a=7.9227 b=7.9421 c=7.9218 alpha=119.92 beta=120.00 gamma=90.00
Closest atoms and distances in Å follow each position.
Fractional coordinates of all 16 atoms:
Tb 0.5000 0.0000 0.0000  6 S 2.81
Tb 0.5000 0.0000 0.5000  6 S 2.76-2.77
Tb 0.0000 0.0000 0.0000  6 S 2.76-2.77
Tb 0.0000 0.0000 0.5000  6 S 2.76-2.77
Pm 0.5000 0.5000 0.0000  6 S 2.84
Pm 0.5000 0.5000 0.5000  6 S 2.84-2.85
Pm 0.0000 0.5000 0.5000  6 S 2.84-2.85
Dy 0.0000 0.5000 0.0000  6 S 2.80
S 0.2492 0.7562 0.0070  3 Tb 2.76-2.81, 1 Dy 2.80, 2 Pm 2.84
S 0.2492 0.7562 0.4985  3 Tb 2.77-2.81, 1 Dy 2.80, 2 Pm 2.84
S 0.2464 0.2393 0.4929  3 Tb 2.76, 3 Pm 2.84-2.85
S 0.7578 0.7562 0.0070  3 Tb 2.76-2.81, 1 Dy 2.80, 2 Pm 2.84
S 0.2422 0.2438 0.9930  3 Tb 2.76-2.81, 1 Dy 2.80, 2 Pm 2.84
S 0.7536 0.7607 0.5071  3 Tb 2.76, 3 Pm 2.84-2.85
S 0.7508 0.2438 0.5015  3 Tb 2.77-2.81, 1 Dy 2.80, 2 Pm 2.84
S 0.7508 0.2438 0.9930  3 Tb 2.76-2.81, 1 Dy 2.80, 2 Pm 2.84

Values from the calculation:
- Space-group type: R-3m

| no. | final energy (eV/cell) |
| --- | --- |
| 1 | -51.72 |
| 2 | -102.58 |